Entry 1:
## Dy2NiIr (PBE)

Data for crystalline Dy2NiIr at its relaxed geometry.

Values from the calculation:
uncorrected energy = -6.640 eV per atom
ρ = 11.45 g/cm³
offset from the most stable computed form = 0.0 kJ per mole of atoms
size of the total moment = 0.000 μB/f.u.

CIF file:
```
data_Dy2NiIr
_chemical_formula_sum 'Dy4 Ni2 Ir2'
_symmetry_space_group_name_H-M 'P 1 21/m 1'
_symmetry_Int_Tables_number 11
_symmetry_space_group_name_Hall '-P 2yb'
_cell_length_a 5.613
_cell_length_b 4.096
_cell_length_c 7.741
_cell_angle_alpha 90.00
_cell_angle_beta 110.16
_cell_angle_gamma 90.00
loop_
_atom_site_label
_atom_site_type_symbol
_atom_site_fract_x
_atom_site_fract_y
_atom_site_fract_z
Dy1 Dy 0.213 0.250 0.432
Dy2 Dy 0.216 0.250 0.926
Ni1 Ni 0.347 0.750 0.209
Ir1 Ir 0.353 0.750 0.715
```



Entry 2:
## Sm7Dy12Sc (PBE)

Data for crystalline Sm7Dy12Sc at its relaxed geometry.

Values from the calculation:
uncorrected energy = -4.038 eV per atom
ρ = 7.07 g/cm³
offset from the most stable computed form = 43.6 kJ per mole of atoms
size of the total moment = 0.000 μB/f.u.

CIF file:
```
data_Sm7Dy12Sc
_chemical_formula_sum 'Sm14 Dy24 Sc2'
_symmetry_space_group_name_H-M 'I m -3'
_symmetry_Int_Tables_number 204
_symmetry_space_group_name_Hall '-I 2 2 3'
_cell_length_a 11.268
_cell_length_b 11.268
_cell_length_c 11.268
_cell_angle_alpha 90.00
_cell_angle_beta 90.00
_cell_angle_gamma 90.00
loop_
_atom_site_label
_atom_site_type_symbol
_atom_site_fract_x
_atom_site_fract_y
_atom_site_fract_z
Sm1 Sm 0.000 0.000 0.500
Sm2 Sm 0.250 0.250 0.250
Dy1 Dy 0.000 0.243 0.243
Sc1 Sc 0.000 0.000 0.000
```



Entry 3:
## YZrBe2 (PBE)

Data for crystalline YZrBe2 at its relaxed geometry.

Values from the calculation:
uncorrected energy = -5.024 eV per atom
ρ = 4.08 g/cm³
offset from the most stable computed form = 57.1 kJ per mole of atoms
size of the total moment = 0.000 μB/f.u.

CIF file:
```
data_YZrBe2
_chemical_formula_sum 'Y4 Zr4 Be8'
_symmetry_space_group_name_H-M 'I -4 2 d'
_symmetry_Int_Tables_number 122
_symmetry_space_group_name_Hall 'I -4 2bw'
_cell_length_a 7.067
_cell_length_b 7.067
_cell_length_c 6.452
_cell_angle_alpha 90.00
_cell_angle_beta 90.00
_cell_angle_gamma 90.00
loop_
_atom_site_label
_atom_site_type_symbol
_atom_site_fract_x
_atom_site_fract_y
_atom_site_fract_z
Y1 Y 0.000 0.000 0.000
Zr1 Zr 0.000 0.000 0.500
Be1 Be 0.230 0.250 0.625
```



Entry 4:
## Co2AsSe (PBE)

Data for crystalline Co2AsSe at its relaxed geometry.

Values from the calculation:
uncorrected energy = -5.495 eV per atom
ρ = 6.03 g/cm³
size of the total moment = 0.000 μB/f.u.
E_form (uncorrected) = 0.367 eV per formula unit

CIF file:
```
data_Co2AsSe
_chemical_formula_sum 'Co6 As3 Se3'
_symmetry_space_group_name_H-M 'R 3 m'
_symmetry_Int_Tables_number 160
_symmetry_space_group_name_Hall 'R 3 -2"'
_cell_length_a 3.6639
_cell_length_b 3.6639
_cell_length_c 19.3233
_cell_angle_alpha 90.00
_cell_angle_beta 90.00
_cell_angle_gamma 120.00
loop_
_atom_site_label
_atom_site_type_symbol
_atom_site_fract_x
_atom_site_fract_y
_atom_site_fract_z
Co1 Co 0.0000 0.0000 0.0000
Co2 Co 0.0000 0.0000 0.2532
As1 As 0.0000 0.0000 0.7038
Se1 Se 0.0000 0.0000 0.5475
```



Entry 5:
## TcPb3 (PBE)

Data for crystalline TcPb3 at its relaxed geometry.

Values from the calculation:
uncorrected energy = -4.629 eV per atom
ρ = 11.38 g/cm³
offset from the most stable computed form = 42.1 kJ per mole of atoms
size of the total moment = 2.713 μB/f.u.

CIF file:
```
data_TcPb3
_chemical_formula_sum 'Tc3 Pb9'
_symmetry_space_group_name_H-M 'R -3 m'
_symmetry_Int_Tables_number 166
_symmetry_space_group_name_Hall '-R 3 2"'
_cell_length_a 10.5329
_cell_length_b 10.5329
_cell_length_c 3.2783
_cell_angle_alpha 90.00
_cell_angle_beta 90.00
_cell_angle_gamma 120.00
loop_
_atom_site_label
_atom_site_type_symbol
_atom_site_fract_x
_atom_site_fract_y
_atom_site_fract_z
Tc1 Tc 0.0000 0.0000 0.0000
Pb1 Pb 0.0000 0.5000 0.0000
```



Entry 6:
## PmCoNi4 (PBE)

Data for crystalline PmCoNi4 at its relaxed geometry.

Values from the calculation:
uncorrected energy = -5.900 eV per atom
ρ = 8.71 g/cm³
offset from the most stable computed form = 0.0 kJ per mole of atoms
size of the total moment = 3.614 μB/f.u.

CIF file:
```
data_PmCoNi4
_chemical_formula_sum 'Pm4 Co4 Ni16'
_symmetry_space_group_name_H-M 'F -4 3 m'
_symmetry_Int_Tables_number 216
_symmetry_space_group_name_Hall 'F -4 2 3'
_cell_length_a 6.942
_cell_length_b 6.942
_cell_length_c 6.942
_cell_angle_alpha 90.00
_cell_angle_beta 90.00
_cell_angle_gamma 90.00
loop_
_atom_site_label
_atom_site_type_symbol
_atom_site_fract_x
_atom_site_fract_y
_atom_site_fract_z
Pm1 Pm 0.000 0.000 0.000
Co1 Co 0.250 0.250 0.250
Ni1 Ni 0.124 0.124 0.624
```



Entry 7:
## K3NaSi2O6 (PBE)

Data for crystalline K3NaSi2O6 at its relaxed geometry.

Values from the calculation:
uncorrected energy = -5.848 eV per atom
ρ = 2.17 g/cm³
size of the total moment = 0.000 μB/f.u.
E_form (uncorrected) = -24.968 eV per formula unit

CIF file:
```
data_K3NaSi2O6
_chemical_formula_sum 'K3 Na1 Si2 O6'
_symmetry_space_group_name_H-M 'P -3 m 1'
_symmetry_Int_Tables_number 164
_symmetry_space_group_name_Hall '-P 3 2"'
_cell_length_a 6.0136
_cell_length_b 6.0136
_cell_length_c 7.1604
_cell_angle_alpha 90.00
_cell_angle_beta 90.00
_cell_angle_gamma 120.00
loop_
_atom_site_label
_atom_site_type_symbol
_atom_site_fract_x
_atom_site_fract_y
_atom_site_fract_z
K1 K 0.0000 0.0000 0.0000
K2 K 0.3333 0.6667 0.7299
Na1 Na 0.0000 0.0000 0.5000
Si1 Si 0.3333 0.6667 0.2695
O1 O 0.1811 0.3621 0.2718
```



Entry 8:
## NaRu3Rh (PBE)

Data for crystalline NaRu3Rh at its relaxed geometry.

Values from the calculation:
uncorrected energy = -4.894 eV per atom
ρ = 8.61 g/cm³
offset from the most stable computed form = 72.9 kJ per mole of atoms
size of the total moment = 0.000 μB/f.u.

CIF file:
```
data_NaRu3Rh
_chemical_formula_sum 'Na1 Ru3 Rh1'
_symmetry_space_group_name_H-M 'P m -3 m'
_symmetry_Int_Tables_number 221
_symmetry_space_group_name_Hall '-P 4 2 3'
_cell_length_a 4.358
_cell_length_b 4.358
_cell_length_c 4.358
_cell_angle_alpha 90.00
_cell_angle_beta 90.00
_cell_angle_gamma 90.00
loop_
_atom_site_label
_atom_site_type_symbol
_atom_site_fract_x
_atom_site_fract_y
_atom_site_fract_z
Na1 Na 0.000 0.000 0.000
Ru1 Ru 0.000 0.000 0.500
Rh1 Rh 0.500 0.500 0.500
```